(1)
Below is a geometry-optimized AlCSe2 structure, with properties calculated at the PBEsol level. Values from VASP.

Structure (Quantum ESPRESSO input):
```
&SYSTEM
  ibrav = 0, nat = 8, ntyp = 3
/
ATOMIC_SPECIES
Al 26.98 Al.upf
C 12.01 C.upf
Se 78.96 Se.upf
ATOMIC_POSITIONS crystal
Al 0.0000 0.0000 0.0000
Al 0.2500 0.7500 0.5000
C 0.5000 0.5000 0.0000
C 0.7500 0.2500 0.5000
Se 0.6250 0.5763 0.7500
Se 0.8263 0.3750 0.2500
Se 0.4237 0.8750 0.2500
Se 0.1250 0.1737 0.7500
CELL_PARAMETERS angstrom
-3.5976 -1.6000 3.0140
3.3486 -2.4977 2.6711
0.9455 7.0198 0.7764
```

Properties
Total moment: 0.00 Bohr magnetons per cell
E_tot: -4.542 eV per atom
Formation energy without anion corrections: 79 kJ/mol of atoms
DOS(E_F): 3.43 states/eV/cell



(2)
Below is a geometry-optimized GaGeTeI2 structure, with properties calculated at the PBEsol level. Values from VASP.

Structure (Quantum ESPRESSO input):
```
&SYSTEM
  ibrav = 0, nat = 5, ntyp = 4
/
ATOMIC_SPECIES
I 126.90 I.upf
Ge 72.64 Ge.upf
Te 127.60 Te.upf
Ga 69.72 Ga.upf
ATOMIC_POSITIONS crystal
I 0.0000 0.5000 0.0000
I 0.5000 0.0000 0.0000
Ge 0.5000 0.5000 0.5000
Te 0.0000 0.0000 0.5000
Ga 0.0000 0.0000 0.0000
CELL_PARAMETERS angstrom
5.3922 0.0000 0.0000
0.0000 5.3922 0.0000
0.0000 0.0000 5.4520
```

Properties
Total moment: 0.00 Bohr magnetons per cell
E_tot: -2.734 eV per atom
Formation energy without anion corrections: 32 kJ/mol of atoms
DOS(E_F): 3.29 states/eV/cell



(3)
Below is a geometry-optimized Cd3Rh structure, with properties calculated at the PBEsol level. Values from VASP.

Structure (Quantum ESPRESSO input):
```
&SYSTEM
  ibrav = 0, nat = 4, ntyp = 2
/
ATOMIC_SPECIES
Cd 112.41 Cd.upf
Rh 102.91 Rh.upf
ATOMIC_POSITIONS crystal
Cd 0.5000 0.8606 0.0000
Cd 0.7365 0.7198 0.4731
Cd 0.2635 0.2468 0.5269
Rh 0.0000 0.3395 0.0000
CELL_PARAMETERS angstrom
-0.6392 -0.5305 -2.9805
4.6650 -1.1936 -0.7879
-2.9888 -3.6164 2.8907
```

Properties
Total moment: 0.00 Bohr magnetons per cell
E_tot: -2.998 eV per atom
Formation energy: -66 meV/atom
DOS(E_F): 1.45 states/eV/cell



(4)
Below is a geometry-optimized LiCdAg2 structure, with properties calculated at the PBEsol level. Values from VASP.

Structure (Quantum ESPRESSO input):
```
&SYSTEM
  ibrav = 0, nat = 4, ntyp = 3
/
ATOMIC_SPECIES
Ag 107.87 Ag.upf
Cd 112.41 Cd.upf
Li 6.94 Li.upf
ATOMIC_POSITIONS crystal
Ag 0.7452 0.7452 0.7646
Ag 0.2548 0.2548 0.2354
Cd 0.5000 0.5000 0.5000
Li 0.0000 0.0000 0.0000
CELL_PARAMETERS angstrom
2.9117 0.0000 0.0000
1.4559 2.5216 0.0000
1.4559 0.8405 9.3029
```

Properties
Total moment: 0.00 Bohr magnetons per cell
E_tot: -2.543 eV per atom
Formation energy: -97 meV/atom
DOS(E_F): 1.08 states/eV/cell



(5)
Below is a geometry-optimized CrB structure, with properties calculated at the PBEsol level. Values from VASP.

Structure (Quantum ESPRESSO input):
```
&SYSTEM
  ibrav = 0, nat = 8, ntyp = 2
/
ATOMIC_SPECIES
B 10.81 B.upf
Cr 52.00 Cr.upf
ATOMIC_POSITIONS crystal
B 0.6578 0.6578 0.3156
B 0.5922 0.0922 0.1844
B 0.9078 0.4078 0.8156
B 0.3422 0.3422 0.6844
Cr 0.8024 0.8024 0.6048
Cr 0.4476 0.9476 0.8952
Cr 0.1976 0.1976 0.3952
Cr 0.0524 0.5524 0.1048
CELL_PARAMETERS angstrom
-0.1951 -2.8568 0.3833
1.2425 0.2633 2.5949
-7.5134 2.2107 1.7649
```

Properties
Total moment: 0.00 Bohr magnetons per cell
E_tot: -9.227 eV per atom
Formation energy: -597 meV/atom
DOS(E_F): 3.90 states/eV/cell



(6)
Below is a geometry-optimized Nb2ZnCBr structure, with properties calculated at the PBEsol level. Values from VASP.

Structure (Quantum ESPRESSO input):
```
&SYSTEM
  ibrav = 0, nat = 5, ntyp = 4
/
ATOMIC_SPECIES
C 12.01 C.upf
Zn 65.41 Zn.upf
Br 79.90 Br.upf
Nb 92.91 Nb.upf
ATOMIC_POSITIONS crystal
C 0.5000 0.5000 0.5000
Zn 0.5000 0.0000 0.0000
Br 0.0000 0.0000 0.0000
Nb 0.0000 0.5000 0.0000
Nb 0.0000 0.0000 0.5000
CELL_PARAMETERS angstrom
-3.4634 2.5278 1.4342
-2.9530 -2.5705 -2.6005
-0.6385 -2.9288 3.6200
```

Properties
Total moment: 0.00 Bohr magnetons per cell
E_tot: -4.471 eV per atom
Formation energy without anion corrections: 239 kJ/mol of atoms
DOS(E_F): 5.78 states/eV/cell